4
Lattice="0.000 3.492 3.492 3.492 0.000 3.492 3.492 3.492 0.000" Properties=species:S:1:pos:R:3 comment="GGA-PBE HoHfAu2, relaxed" magnetic_moment_mub_per_fu=0.0 relative_energy_mev_per_atom=44.9 final_energy_ev_per_atom=-5.844 dos_at_fermi_per_ev_cell=5.58 e_form_ev_per_fu=-2.3 pbc="T T T"
Ho 0.000 0.000 0.000
Hf 3.492 3.492 3.492
Au 1.746 1.746 1.746
Au 5.237 5.237 5.237